No. 1
Material: Ba2CaSc
Method: DFT, GGA-PBEsol
State: relaxed

abc: 7.290 7.290 7.290
angles: 146.03 130.18 61.67
Fractional positions:
1 Ba 0.227 0.227 0.000
2 Ba 0.773 0.773 0.000
3 Ca 0.500 0.000 0.500
4 Sc 0.000 0.500 0.500

Output
Total magnetization in μB/cell: 0.002
E above lowest polymorph in meV/atom: 8
Calculated formation energy in eV per atom: 0.269
Space group: Immm, No. 71

No. 2
Material: Ba2CaSc
Method: DFT, GGA-PBEsol
State: relaxed

abc: 6.139 6.139 6.139
angles: 60.00 60.00 60.00
Fractional positions:
1 Ba 0.000 0.000 0.000
2 Ba 0.250 0.250 0.250
3 Ca 0.500 0.500 0.500
4 Sc 0.750 0.750 0.750

Output
Total magnetization in μB/cell: 0.001
E above lowest polymorph in meV/atom: 0
Calculated formation energy in eV per atom: 0.261
Space group: F-43m, No. 216

No. 3
Material: BaCaSe
Method: DFT, GGA-PBEsol
State: relaxed

abc: 4.253 4.253 7.365
angles: 90.00 90.00 120.00
Fractional positions:
1 Ba 0.000 0.000 0.000
2 Ca 0.333 0.667 0.498
3 Se 0.667 0.333 0.286

Output
Total magnetization in μB/cell: 0.000
E above lowest polymorph in meV/atom: 0
Space group: P3m1, No. 156
Raw formation energy in meV per atom: -1216.8

No. 4
Material: Ba2CaSe
Method: DFT, GGA-PBEsol
State: relaxed

abc: 11.237 11.237 11.237
angles: 22.49 22.49 22.49
Fractional positions:
1 Ba 0.227 0.227 0.227
2 Ba 0.773 0.773 0.773
3 Ca 0.000 0.000 0.000
4 Se 0.500 0.500 0.500

Output
Total magnetization in μB/cell: 0.000
Space group: R-3m, No. 166
Raw formation energy in meV per atom: -886.4

No. 5
Material: BaCaSe
Method: DFT, GGA-PBEsol
State: relaxed

abc: 5.220 5.220 5.220
angles: 60.00 60.00 60.00
Fractional positions:
1 Ba 0.000 0.000 0.000
2 Ca 0.500 0.500 0.500
3 Se 0.750 0.750 0.750

Output
Total magnetization in μB/cell: 0.000
E above lowest polymorph in meV/atom: 236
Space group: F-43m, No. 216
Raw formation energy in meV per atom: -980.9

No. 6
Material: Ba2CaTiSe
Method: DFT, GGA-PBEsol
State: relaxed

abc: 6.427 6.427 4.816
angles: 90.00 90.00 90.00
Fractional positions:
1 Ba 0.000 0.500 0.000
2 Ba 0.500 0.000 0.000
3 Ca 0.000 0.000 0.500
4 Ti 0.500 0.500 0.000
5 Se 0.500 0.500 0.500

Output
Total magnetization in μB/cell: 1.741
Space group: P4/mmm, No. 123
Raw formation energy in meV per atom: 36.3

No. 7
Material: BaCaSi2
Method: DFT, GGA-PBEsol
State: relaxed

abc: 4.831 4.831 4.442
angles: 90.00 90.00 90.00
Fractional positions:
1 Ba 0.000 0.000 0.000
2 Ca 0.500 0.500 0.000
3 Si 0.000 0.500 0.500
4 Si 0.500 0.000 0.500

Output
Total magnetization in μB/cell: 0.000
E above lowest polymorph in meV/atom: 388
Space group: P4/mmm, No. 123
Raw formation energy in meV per atom: -100.1

No. 8
Material: BaCa2Si
Method: DFT, GGA-PBEsol
State: relaxed

abc: 8.521 8.521 8.521
angles: 32.35 32.35 32.35
Fractional positions:
1 Ba 0.000 0.000 0.000
2 Ca 0.212 0.212 0.212
3 Ca 0.788 0.788 0.788
4 Si 0.500 0.500 0.500

Output
Total magnetization in μB/cell: 0.000
Space group: R-3m, No. 166
Raw formation energy in meV per atom: -103.6

No. 9
Material: BaCaSi2
Method: DFT, GGA-PBEsol
State: relaxed

abc: 3.946 3.946 6.837
angles: 90.00 90.00 90.00
Fractional positions:
1 Ba 0.000 0.000 0.000
2 Ca 0.000 0.000 0.500
3 Si 0.500 0.500 0.328
4 Si 0.500 0.500 0.672

Output
Total magnetization in μB/cell: 0.000
E above lowest polymorph in meV/atom: 145
Space group: P4/mmm, No. 123
Raw formation energy in meV per atom: -342.8

No. 10
Material: BaCaSi2
Method: DFT, GGA-PBEsol
State: relaxed

abc: 3.970 6.334 6.334
angles: 43.28 90.00 90.00
Fractional positions:
1 Ba 0.000 0.000 0.000
2 Ca 0.500 0.274 0.274
3 Si 0.000 0.716 0.716
4 Si 0.500 0.595 0.595

Output
Total magnetization in μB/cell: 0.000
E above lowest polymorph in meV/atom: 0
Space group: Amm2, No. 38
Raw formation energy in meV per atom: -487.9

No. 11
Material: BaCa2SiW
Method: DFT, GGA-PBEsol
State: relaxed

abc: 5.565 5.565 4.842
angles: 90.00 90.00 90.00
Fractional positions:
1 Ba 0.000 0.000 0.000
2 Ca 0.000 0.500 0.500
3 Ca 0.500 0.000 0.500
4 Si 0.500 0.500 0.500
5 W 0.500 0.500 0.000

Output
Total magnetization in μB/cell: 1.538
Space group: P4/mmm, No. 123
Raw formation energy in meV per atom: 527.6

No. 12
Material: Ba2CaSn2
Method: DFT, GGA-PBEsol
State: relaxed

abc: 8.489 8.489 5.224
angles: 90.00 90.00 90.00
Fractional positions:
1 Ba 0.168 0.332 0.000
2 Ba 0.332 0.832 0.000
3 Ba 0.668 0.168 0.000
4 Ba 0.832 0.668 0.000
5 Ca 0.000 0.000 0.500
6 Ca 0.500 0.500 0.500
7 Sn 0.124 0.624 0.500
8 Sn 0.376 0.124 0.500
9 Sn 0.624 0.876 0.500
10 Sn 0.876 0.376 0.500

Output
Total magnetization in μB/cell: 0.741
Calculated formation energy in eV per atom: -0.609
Space group: P4/mbm, No. 127

What is the total magnetization in the first record?
0.002 μB/cell

Number 5 is which compound?
BaCaSe

Which value of total magnetization does entry 2 give?
0.001 μB/cell